1) DFT (PBE-GGA) results for an optimized crystal structure of AcZn2F8.

a = 5.6271 Å, b = 5.6271 Å, c = 6.9683 Å
α = 113.81°, β = 113.81°, γ = 90.00°
Fractional coordinates of all 11 atoms:
Ac: 0.5000 0.5000 0.0000
Zn: 0.2500 0.7500 0.5000
Zn: 0.7500 0.2500 0.5000
F: 0.4739 0.9482 0.2695
F: 0.6787 0.2043 0.7305
F: 0.3213 0.4739 0.2695
F: 0.2043 0.0518 0.7305
F: 0.5261 0.6787 0.7305
F: 0.7957 0.3213 0.2695
F: 0.0518 0.5261 0.7305
F: 0.9482 0.7957 0.2695


2) DFT (PBE-GGA) results for an optimized crystal structure of AcZn2F8.

a = 4.1031 Å, b = 7.0490 Å, c = 7.6106 Å
α = 122.12°, β = 90.04°, γ = 106.47°
Fractional coordinates of all 11 atoms:
F: 0.3743 0.7457 0.8678
F: 0.8815 0.7747 0.6059
F: 0.8693 0.7496 0.1467
F: 0.1185 0.2253 0.3941
F: 0.6257 0.2543 0.1321
F: 0.7105 0.4107 0.7002
F: 0.1307 0.2504 0.8533
F: 0.2895 0.5893 0.2997
Zn: 0.8011 0.6134 0.3077
Zn: 0.1989 0.3866 0.6923
Ac: 0.0000 0.0000 0.0000


Best to worst by energy: 2), 1).